1.
! Cd7Br6 (PBE-GGA, relaxed); values from VASP
&SYSTEM
  ibrav = 0, nat = 13, ntyp = 2
/
ATOMIC_SPECIES
Cd 112.41 Cd.upf
Br 79.90 Br.upf
ATOMIC_POSITIONS crystal
Cd 0.0000 0.0000 0.0000
Cd 0.0967 0.0967 0.5770
Cd 0.0967 0.5770 0.0967
Cd 0.4230 0.9033 0.9033
Cd 0.5770 0.0967 0.0967
Cd 0.9033 0.4230 0.9033
Cd 0.9033 0.9033 0.4230
Br 0.1400 0.1400 0.1400
Br 0.3345 0.3345 0.3345
Br 0.4353 0.4353 0.4353
Br 0.5647 0.5647 0.5647
Br 0.6655 0.6655 0.6655
Br 0.8600 0.8600 0.8600
CELL_PARAMETERS angstrom
3.0275 1.7480 11.7314
-3.0275 1.7480 11.7314
0.0000 -3.4959 11.7314
! Total energy ... -1.57 eV/atom
! Volume ... 28.65 Å³ per atom

***

2.
! Cd3Br (PBE-GGA, relaxed); values from VASP
&SYSTEM
  ibrav = 0, nat = 16, ntyp = 2
/
ATOMIC_SPECIES
Cd 112.41 Cd.upf
Br 79.90 Br.upf
ATOMIC_POSITIONS crystal
Cd 0.0000 0.5000 0.0000
Cd 0.0000 0.5000 0.5000
Cd 0.1655 0.3310 0.2500
Cd 0.1655 0.8345 0.2500
Cd 0.3310 0.1655 0.7500
Cd 0.5000 0.0000 0.0000
Cd 0.5000 0.0000 0.5000
Cd 0.5000 0.5000 0.0000
Cd 0.5000 0.5000 0.5000
Cd 0.6690 0.8345 0.2500
Cd 0.8345 0.1655 0.7500
Cd 0.8345 0.6690 0.7500
Br 0.0000 0.0000 0.0000
Br 0.0000 0.0000 0.5000
Br 0.3333 0.6667 0.7500
Br 0.6667 0.3333 0.2500
CELL_PARAMETERS angstrom
6.3418 0.0000 0.0000
-3.1709 5.4921 0.0000
0.0000 0.0000 12.7447
! Total energy ... -1.13 eV/atom
! Distance to the lowest polymorph of the same formula ... 173.3 meV/atom
! Volume ... 27.74 Å³ per atom

***

3.
! Cd3Br (PBE-GGA, relaxed); values from VASP
&SYSTEM
  ibrav = 0, nat = 4, ntyp = 2
/
ATOMIC_SPECIES
Cd 112.41 Cd.upf
Br 79.90 Br.upf
ATOMIC_POSITIONS crystal
Cd 0.0000 0.0000 0.0000
Cd 0.5000 0.5000 0.2436
Cd 0.5000 0.5000 0.7564
Br 0.0000 0.0000 0.5000
CELL_PARAMETERS angstrom
2.0792 -2.9953 0.0000
2.0792 2.9953 0.0000
0.0000 0.0000 8.5280
! Total energy ... -1.23 eV/atom
! Distance to the lowest polymorph of the same formula ... 65.6 meV/atom
! Volume ... 26.55 Å³ per atom

***

4.
! Cd2Br3 (PBE-GGA, relaxed); values from VASP
&SYSTEM
  ibrav = 0, nat = 5, ntyp = 2
/
ATOMIC_SPECIES
Cd 112.41 Cd.upf
Br 79.90 Br.upf
ATOMIC_POSITIONS crystal
Cd 0.3333 0.6667 0.3020
Cd 0.6667 0.3333 0.6980
Br 0.0000 0.0000 0.5000
Br 0.3333 0.6667 0.8155
Br 0.6667 0.3333 0.1845
CELL_PARAMETERS angstrom
5.3282 0.0000 0.0000
-2.6641 4.6144 0.0000
0.0000 0.0000 5.8110
! Total energy ... -1.79 eV/atom
! Distance to the lowest polymorph of the same formula ... 156.3 meV/atom
! Volume ... 28.57 Å³ per atom

***

5.
! CdBr2 (PBE-GGA, relaxed); values from VASP
&SYSTEM
  ibrav = 0, nat = 6, ntyp = 2
/
ATOMIC_SPECIES
Cd 112.41 Cd.upf
Br 79.90 Br.upf
ATOMIC_POSITIONS crystal
Cd 0.1199 0.8801 0.7500
Cd 0.8801 0.1199 0.2500
Br 0.3115 0.6885 0.2500
Br 0.4298 0.5702 0.7500
Br 0.5702 0.4298 0.2500
Br 0.6885 0.3115 0.7500
CELL_PARAMETERS angstrom
1.8670 -13.8330 0.0000
1.8670 13.8330 0.0000
0.0000 0.0000 3.8827
! Total energy ... -2.09 eV/atom
! Volume ... 33.43 Å³ per atom

***

6.
! Cd2Br3 (PBE-GGA, relaxed); values from VASP
&SYSTEM
  ibrav = 0, nat = 10, ntyp = 2
/
ATOMIC_SPECIES
Cd 112.41 Cd.upf
Br 79.90 Br.upf
ATOMIC_POSITIONS crystal
Cd 0.1550 0.1550 0.1550
Cd 0.3450 0.3450 0.3450
Cd 0.6550 0.6550 0.6550
Cd 0.8450 0.8450 0.8450
Br 0.0667 0.7500 0.4333
Br 0.2500 0.5667 0.9333
Br 0.4333 0.0667 0.7500
Br 0.5667 0.9333 0.2500
Br 0.7500 0.4333 0.0667
Br 0.9333 0.2500 0.5667
CELL_PARAMETERS angstrom
3.6317 2.0968 6.8618
-3.6317 2.0968 6.8618
0.0000 -4.1935 6.8618
! Total energy ... -1.95 eV/atom
! Distance to the lowest polymorph of the same formula ... 0.0 meV/atom
! Volume ... 31.35 Å³ per atom

***

7.
! CdBr2 (PBE-GGA, relaxed); values from VASP
&SYSTEM
  ibrav = 0, nat = 6, ntyp = 2
/
ATOMIC_SPECIES
Cd 112.41 Cd.upf
Br 79.90 Br.upf
ATOMIC_POSITIONS crystal
Cd 0.0000 0.0000 0.0000
Cd 0.5000 0.5000 0.5000
Br 0.1287 0.1287 0.1287
Br 0.2953 0.2953 0.2953
Br 0.7047 0.7047 0.7047
Br 0.8713 0.8713 0.8713
CELL_PARAMETERS angstrom
2.0248 1.1690 13.8730
-2.0248 1.1690 13.8730
0.0000 -2.3380 13.8730
! Total energy ... -2.28 eV/atom
! Volume ... 32.84 Å³ per atom

***

8.
! Cd3Br (PBE-GGA, relaxed); values from VASP
&SYSTEM
  ibrav = 0, nat = 4, ntyp = 2
/
ATOMIC_SPECIES
Cd 112.41 Cd.upf
Br 79.90 Br.upf
ATOMIC_POSITIONS crystal
Cd 0.0000 0.0000 0.0000
Cd 0.2171 0.9722 0.2449
Cd 0.7274 0.9722 0.7551
Br 0.4953 0.9953 0.5000
CELL_PARAMETERS angstrom
-2.0217 6.0406 2.2843
2.0217 -6.0406 2.2843
2.0217 6.0406 -2.2843
! Total energy ... -1.21 eV/atom
! Distance to the lowest polymorph of the same formula ... 85.7 meV/atom
! Volume ... 27.90 Å³ per atom

***

9.
! Cd4Br (PBE-GGA, relaxed); values from VASP
&SYSTEM
  ibrav = 0, nat = 5, ntyp = 2
/
ATOMIC_SPECIES
Cd 112.41 Cd.upf
Br 79.90 Br.upf
ATOMIC_POSITIONS crystal
Cd 0.0000 0.0000 0.0000
Cd 0.0000 0.5000 0.5000
Cd 0.5000 0.0000 0.5000
Cd 0.5000 0.5000 0.0000
Br 0.5000 0.5000 0.5000
CELL_PARAMETERS angstrom
6.0511 0.0000 0.0000
0.0000 6.0511 0.0000
0.0000 0.0000 6.0511
! Total energy ... -0.67 eV/atom
! Distance to the lowest polymorph of the same formula ... 128.1 meV/atom
! Volume ... 44.31 Å³ per atom

***

10.
! Cd3Br (PBE-GGA, relaxed); values from VASP
&SYSTEM
  ibrav = 0, nat = 8, ntyp = 2
/
ATOMIC_SPECIES
Cd 112.41 Cd.upf
Br 79.90 Br.upf
ATOMIC_POSITIONS crystal
Cd 0.0000 0.2500 0.5000
Cd 0.0000 0.7500 0.5000
Cd 0.2500 0.5000 0.0000
Cd 0.5000 0.0000 0.2500
Cd 0.5000 0.0000 0.7500
Cd 0.7500 0.5000 0.0000
Br 0.0000 0.0000 0.0000
Br 0.5000 0.5000 0.5000
CELL_PARAMETERS angstrom
6.0480 0.0000 0.0000
0.0000 6.0480 0.0000
0.0000 0.0000 6.0480
! Total energy ... -1.10 eV/atom
! Distance to the lowest polymorph of the same formula ... 195.3 meV/atom
! Volume ... 27.65 Å³ per atom

***

11.
! Cd3Br (PBE-GGA, relaxed); values from VASP
&SYSTEM
  ibrav = 0, nat = 8, ntyp = 2
/
ATOMIC_SPECIES
Cd 112.41 Cd.upf
Br 79.90 Br.upf
ATOMIC_POSITIONS crystal
Cd 0.0943 0.9057 0.7500
Cd 0.0964 0.3935 0.7500
Cd 0.3935 0.0964 0.2500
Cd 0.6065 0.9036 0.7500
Cd 0.9036 0.6065 0.2500
Cd 0.9057 0.0943 0.2500
Br 0.3786 0.6214 0.2500
Br 0.6214 0.3786 0.7500
CELL_PARAMETERS angstrom
4.4172 -6.2627 0.0000
4.4172 6.2627 0.0000
0.0000 0.0000 3.9518
! Total energy ... -1.24 eV/atom
! Distance to the lowest polymorph of the same formula ... 60.3 meV/atom
! Volume ... 27.33 Å³ per atom

***

12.
! CdBr2 (PBE-GGA, relaxed); values from VASP
&SYSTEM
  ibrav = 0, nat = 12, ntyp = 2
/
ATOMIC_SPECIES
Cd 112.41 Cd.upf
Br 79.90 Br.upf
ATOMIC_POSITIONS crystal
Cd 0.3333 0.6667 0.0000
Cd 0.3333 0.6667 0.2497
Cd 0.6667 0.3333 0.5000
Cd 0.6667 0.3333 0.7497
Br 0.0000 0.0000 0.1930
Br 0.0000 0.0000 0.4432
Br 0.0000 0.0000 0.6930
Br 0.0000 0.0000 0.9432
Br 0.3333 0.6667 0.5568
Br 0.3333 0.6667 0.8065
Br 0.6667 0.3333 0.0568
Br 0.6667 0.3333 0.3065
CELL_PARAMETERS angstrom
4.0480 0.0000 0.0000
-2.0240 3.5057 0.0000
0.0000 0.0000 27.8846
! Total energy ... -2.28 eV/atom
! Volume ... 32.98 Å³ per atom

***

Number 1: uncorrected formation energy -0.301 eV per atom. Number 2: uncorrected formation energy -0.021 eV per atom. Number 3: uncorrected formation energy -0.128 eV per atom. Number 4: uncorrected formation energy -0.423 eV per atom. Number 5: uncorrected formation energy -0.669 eV per atom. Number 6: uncorrected formation energy -0.580 eV per atom. Number 7: uncorrected formation energy -0.859 eV per atom. Number 8: uncorrected formation energy -0.108 eV per atom. Number 9: uncorrected formation energy 0.400 eV per atom. Number 10: uncorrected formation energy 0.001 eV per atom. Number 11: uncorrected formation energy -0.134 eV per atom. Number 12: uncorrected formation energy -0.860 eV per atom.